Entry from the Open Quantum Materials Database: CsYNiS3 after structural relaxation (GGA-PBE).

Energy above the most stable polymorph in this dataset = 1.56 eV/f.u.
Electronic total energy = -5.263 eV per atom

Unit cell a=8.5845 b=8.5845 c=8.7409 alpha=98.37 beta=98.37 gamma=28.30
With the nearest neighbours (Å) after each atom.
Positions (direct):
1 Cs 0.1568 0.1568 0.0708  7 S 3.33-3.48
2 Cs 0.8432 0.8432 0.9292  7 S 3.33-3.48
3 Y 0.1589 0.1589 0.5686  6 S 2.62-2.80
4 Y 0.8411 0.8411 0.4314  6 S 2.62-2.80
5 Ni 0.4936 0.4936 0.2502  2 S 2.19-2.21
6 Ni 0.5064 0.5064 0.7498  2 S 2.19-2.21
7 S 0.0000 0.0000 0.5000  2 Y 2.62
8 S 0.3291 0.3291 0.6308  3 Y 2.75-2.80, 1 Ni 2.98
9 S 0.3609 0.3609 0.2336  1 Ni 2.19
10 S 0.5000 0.5000 0.0000  2 Ni 2.21
11 S 0.6391 0.6391 0.7664  1 Ni 2.19
12 S 0.6709 0.6709 0.3692  3 Y 2.75-2.80, 1 Ni 2.98